{
  "formula": "BeOs2Cl",
  "functional": "PBE",
  "state": "relaxed",
  "cell": [[5.881, 0.000, 0.000], [0.000, 5.881, 0.000], [0.000, 0.000, 5.881]],
  "species": ["Be", "Be", "Be", "Be", "Os", "Os", "Os", "Os", "Os", "Os", "Os", "Os", "Cl", "Cl", "Cl", "Cl"],
  "frac_coords": [[0.000, 0.000, 0.000], [0.000, 0.500, 0.500], [0.500, 0.000, 0.500], [0.500, 0.500, 0.000], [0.250, 0.250, 0.250], [0.250, 0.250, 0.750], [0.250, 0.750, 0.250], [0.250, 0.750, 0.750], [0.750, 0.250, 0.250], [0.750, 0.250, 0.750], [0.750, 0.750, 0.250], [0.750, 0.750, 0.750], [0.000, 0.000, 0.500], [0.000, 0.500, 0.000], [0.500, 0.000, 0.000], [0.500, 0.500, 0.500]],
  "formation_energy_uncorrected_ev_per_atom": 1.097,
  "volume_a3_per_cell": 203.41,
  "m_tot_mub_per_cell": 0.000,
  "final_energy_ev_per_fu": -23.65
}